1.
Computed, not measured: crystalline RbHfTlPb2 at its relaxed geometry at the PBEsol level of DFT.

The structure in POSCAR format:
```
RbHfTlPb2
1.0
-3.6100 -4.4020 -0.4702
1.7297 -1.9610 5.0787
-4.2259 3.1807 2.6674
Pb Hf Tl Rb
2 1 1 1
Cartesian
0.8648 -0.9805 2.5394 Pb
-1.8050 -2.2010 -0.2351 Pb
-3.0531 -1.5911 3.6379 Hf
0.0000 0.0000 0.0000 Tl
-2.1129 1.5904 1.3337 Rb
```

Values from the calculation:
- E_form: 1.205 eV/atom
- Density of states at the Fermi level: 6.2 states/eV/cell

=====

2.
Computed, not measured: crystalline HfRe2RhPb at its relaxed geometry at the PBEsol level of DFT.

The structure in POSCAR format:
```
HfRe2RhPb
1.0
-2.8095 1.2699 -3.5475
2.1205 -3.3036 -2.8618
-3.2667 -3.3111 1.4018
Re Pb Hf Rh
2 1 1 1
Cartesian
-1.6333 -1.6556 0.7009 Re
1.0602 -1.6518 -1.4309 Re
-1.9779 -2.6724 -2.5038 Pb
0.0000 0.0000 0.0000 Hf
-1.4047 0.6349 -1.7738 Rh
```

Values from the calculation:
- E_form: 1.963 eV/atom
- Density of states at the Fermi level: 5.7 states/eV/cell

=====

3.
Computed, not measured: crystalline HfZnRePb2 at its relaxed geometry at the PBEsol level of DFT.

The structure in POSCAR format:
```
HfZnRePb2
1.0
5.0194 0.0000 0.0000
0.0000 5.2427 0.0000
0.0000 0.0000 5.2427
Re Zn Hf Pb
1 1 1 2
Cartesian
0.0000 0.0000 0.0000 Re
2.5097 2.6214 2.6214 Zn
2.5097 0.0000 0.0000 Hf
0.0000 2.6214 0.0000 Pb
0.0000 0.0000 2.6214 Pb
```

Values from the calculation:
- E_form: 0.791 eV/atom
- Density of states at the Fermi level: 3.1 states/eV/cell

=====

4.
Computed, not measured: crystalline HfSiRhPb2 at its relaxed geometry at the PBEsol level of DFT.

The structure in POSCAR format:
```
HfSiRhPb2
1.0
4.9048 0.0000 0.0000
0.0000 5.4046 0.0000
0.0000 0.0000 5.4046
Rh Si Pb Hf
1 1 2 1
Cartesian
2.4524 2.7023 2.7023 Rh
2.4524 0.0000 0.0000 Si
0.0000 0.0000 2.7023 Pb
0.0000 2.7023 0.0000 Pb
0.0000 0.0000 0.0000 Hf
```

Values from the calculation:
- E_form (uncorrected): 1.254 eV/atom
- Density of states at the Fermi level: 6.4 states/eV/cell

=====

5.
Computed, not measured: crystalline HfRu3Pb at its relaxed geometry at the PBEsol level of DFT.

The structure in POSCAR format:
```
HfRu3Pb
1.0
4.7648 0.0000 0.0000
0.0000 4.7648 0.0000
0.0000 0.0000 4.7648
Hf Pb Ru
1 1 3
Cartesian
2.3824 2.3824 2.3824 Hf
0.0000 0.0000 0.0000 Pb
0.0000 2.3824 0.0000 Ru
2.3824 0.0000 0.0000 Ru
0.0000 0.0000 2.3824 Ru
```

Values from the calculation:
- E_form: 1.896 eV/atom
- Density of states at the Fermi level: 5.1 states/eV/cell

=====

6.
Computed, not measured: crystalline HfRuPb2 at its relaxed geometry at the PBEsol level of DFT.

The structure in POSCAR format:
```
HfRuPb2
1.0
4.8393 0.0000 0.0000
2.4196 4.1909 0.0000
2.4196 1.3970 3.9512
Ru Hf Pb
1 1 2
Cartesian
0.0000 0.0000 0.0000 Ru
4.8393 2.7939 1.9756 Hf
7.2589 4.1909 2.9634 Pb
2.4196 1.3970 0.9878 Pb
```

Values from the calculation:
- E_form: 0.353 eV/atom
- Density of states at the Fermi level: 3.6 states/eV/cell

=====

7.
Computed, not measured: crystalline HfPbS3 at its relaxed geometry at the PBEsol level of DFT.

The structure in POSCAR format:
```
HfPbS3
1.0
-0.7438 -2.6908 2.4412
4.6587 -5.7555 -4.9246
11.4023 3.2200 7.0234
S Hf Pb
12 4 4
Cartesian
6.2031 -3.5535 2.1985 S
5.2506 -7.3580 -2.2853 S
6.1692 -0.0588 3.2233 S
3.0453 -4.4766 -2.5980 S
12.2719 -0.7498 7.1380 S
6.6356 -4.1977 -1.1967 S
9.1141 -1.6729 2.3414 S
9.1480 -5.1676 1.3166 S
11.7698 -3.6922 3.7417 S
3.5474 -1.5342 0.7982 S
10.0666 2.1316 6.8252 S
8.6817 -1.0287 5.7366 S
1.1601 -1.4647 0.1474 Hf
8.0430 -3.0566 0.4899 Hf
7.2743 -2.1698 4.0500 Hf
14.1572 -3.7617 4.3925 Hf
3.6967 -4.2652 0.6503 Pb
7.7622 -6.6527 -0.7426 Pb
11.6205 -0.9612 3.8896 Pb
7.5550 1.4263 5.2826 Pb
```

Values from the calculation:
- E_form (uncorrected): -1.173 eV/atom

=====

8.
Computed, not measured: crystalline HfPbS2 at its relaxed geometry at the PBEsol level of DFT.

The structure in POSCAR format:
```
HfPbS2
1.0
-0.7345 -3.2869 0.9545
1.1026 -1.2122 3.0935
-7.3855 1.2704 5.1109
Pb S Hf
1 2 1
Cartesian
0.0000 0.0000 0.0000 Pb
-4.9186 0.3603 3.8749 S
-2.0989 -3.5889 5.2839 S
-3.5087 -1.6143 4.5794 Hf
```

Values from the calculation:
- E_form (uncorrected): -1.176 eV/atom
- Density of states at the Fermi level: 1.7 states/eV/cell

=====

9.
Computed, not measured: crystalline HfSb2Pb at its relaxed geometry at the PBEsol level of DFT.

The structure in POSCAR format:
```
HfSb2Pb
1.0
6.7143 0.0000 0.0000
0.0000 6.7143 0.0000
-3.3571 -3.3571 6.6601
Sb Pb Hf
4 2 2
Cartesian
1.6786 1.4255 4.9951 Sb
4.7827 1.6786 1.6650 Sb
1.9316 5.0357 1.6650 Sb
-1.6786 -1.4255 4.9951 Sb
0.0000 0.0000 0.0000 Pb
0.0000 3.3571 3.3301 Pb
3.3571 0.0000 3.3301 Hf
3.3571 3.3571 0.0000 Hf
```

Values from the calculation:
- E_form (uncorrected): 0.191 eV/atom
- Density of states at the Fermi level: 1.5 states/eV/cell

=====

10.
Computed, not measured: crystalline Hf3PbSe at its relaxed geometry at the PBEsol level of DFT.

The structure in POSCAR format:
```
Hf3PbSe
1.0
4.9071 0.0000 0.0000
0.0000 4.9071 0.0000
0.0000 0.0000 4.9071
Se Hf Pb
1 3 1
Cartesian
0.0000 0.0000 0.0000 Se
2.4536 0.0000 0.0000 Hf
0.0000 0.0000 2.4536 Hf
0.0000 2.4536 0.0000 Hf
2.4536 2.4536 2.4536 Pb
```

Values from the calculation:
- E_form (uncorrected): 0.151 eV/atom
- Density of states at the Fermi level: 4.1 states/eV/cell

=====

11.
Computed, not measured: crystalline HfPbSe3 at its relaxed geometry at the PBEsol level of DFT.

The structure in POSCAR format:
```
HfPbSe3
1.0
-4.1138 -3.1782 -0.1886
2.4595 -2.9767 -3.4856
2.0216 -2.8456 3.8568
Pb Hf Se
1 1 3
Cartesian
0.0000 0.0000 0.0000 Pb
0.1837 -4.5003 0.0913 Hf
1.0108 -1.4228 1.9284 Se
-2.0569 -1.5891 -0.0943 Se
1.2298 -1.4884 -1.7428 Se
```

Values from the calculation:
- E_form (uncorrected): 0.710 eV/atom
- Density of states at the Fermi level: 3.3 states/eV/cell

=====

12.
Computed, not measured: crystalline HfPbSe2 at its relaxed geometry at the PBEsol level of DFT.

The structure in POSCAR format:
```
HfPbSe2
1.0
3.6003 0.0000 0.0000
1.8002 3.1180 0.0000
1.8002 1.0393 9.2972
Pb Se Hf
1 2 1
Cartesian
0.0000 0.0000 0.0000 Pb
1.8002 1.0393 6.2842 Se
5.4005 3.1180 3.0131 Se
3.6003 2.0787 4.6486 Hf
```

Values from the calculation:
- E_form (uncorrected): -0.949 eV/atom
- Density of states at the Fermi level: 1.6 states/eV/cell

=====

13.
Computed, not measured: crystalline HfPbSe2 at its relaxed geometry at the PBEsol level of DFT.

The structure in POSCAR format:
```
HfPbSe2
1.0
3.9268 0.0000 0.0000
1.9634 3.4007 0.0000
1.9634 1.1336 8.7206
Se Pb Hf
2 1 1
Cartesian
5.8902 3.4007 2.4861 Se
1.9634 1.1336 6.2345 Se
3.9268 2.2671 4.3603 Pb
0.0000 0.0000 0.0000 Hf
```

Values from the calculation:
- E_form (uncorrected): -0.081 eV/atom
- Density of states at the Fermi level: 1.1 states/eV/cell

=====

14.
Computed, not measured: crystalline HfSi2Pb at its relaxed geometry at the PBEsol level of DFT.

The structure in POSCAR format:
```
HfSi2Pb
1.0
6.1345 0.0000 0.0000
0.0000 6.1345 0.0000
-3.0672 -3.0672 6.0835
Si Hf Pb
4 2 2
Cartesian
1.5959 4.6009 1.5209 Si
1.5336 1.4714 4.5627 Si
4.5386 1.5336 1.5209 Si
-1.5336 -1.4714 4.5627 Si
3.0672 3.0672 0.0000 Hf
3.0672 0.0000 3.0418 Hf
0.0000 0.0000 0.0000 Pb
0.0000 3.0672 3.0418 Pb
```

Values from the calculation:
- E_form (uncorrected): 0.624 eV/atom
- Density of states at the Fermi level: 4.2 states/eV/cell

=====

15.
Computed, not measured: crystalline HfTePb3 at its relaxed geometry at the PBEsol level of DFT.

The structure in POSCAR format:
```
HfTePb3
1.0
-3.1324 -2.2471 4.2370
0.0263 -5.0686 -2.6687
4.7959 -1.4399 2.7820
Pb Te Hf
3 1 1
Cartesian
2.3980 -0.7199 1.3910 Pb
-1.5662 -1.1235 2.1185 Pb
0.0131 -2.5343 -1.3343 Pb
0.0000 0.0000 0.0000 Te
0.8449 -4.3778 2.1752 Hf
```

Values from the calculation:
- E_form (uncorrected): 1.183 eV/atom
- Density of states at the Fermi level: 7.0 states/eV/cell

=====

16.
Computed, not measured: crystalline HfZrPb2 at its relaxed geometry at the PBEsol level of DFT.

The structure in POSCAR format:
```
HfZrPb2
1.0
5.0431 0.0000 0.0000
2.5216 4.3675 0.0000
2.5216 1.4558 4.1177
Zr Hf Pb
1 1 2
Cartesian
0.0000 0.0000 0.0000 Zr
5.0431 2.9116 2.0588 Hf
7.5647 4.3675 3.0883 Pb
2.5216 1.4558 1.0294 Pb
```

Values from the calculation:
- E_form: 0.057 eV/atom
- Density of states at the Fermi level: 6.5 states/eV/cell

=====

17.
Computed, not measured: crystalline HfZr2Pb2 at its relaxed geometry at the PBEsol level of DFT.

The structure in POSCAR format:
```
HfZr2Pb2
1.0
-1.2486 2.8252 2.3294
3.8337 -3.1432 5.8671
6.1771 4.2020 -1.7852
Zr Pb Hf
4 4 2
Cartesian
4.6691 0.1981 5.4751 Zr
1.6739 1.0362 2.8531 Zr
7.0884 2.8478 3.5582 Zr
4.0932 3.6859 0.9363 Zr
3.3220 -1.4230 3.5065 Pb
6.6889 2.4818 0.5754 Pb
7.2512 -0.0112 3.9005 Pb
2.7596 1.0700 0.1815 Pb
0.0000 0.0000 0.0000 Hf
5.0054 0.5294 2.0410 Hf
```

Values from the calculation:
- E_form: -0.175 eV/atom
- Density of states at the Fermi level: 9.1 states/eV/cell

=====

18.
Computed, not measured: crystalline HfPd3 at its relaxed geometry at the PBEsol level of DFT.

The structure in POSCAR format:
```
HfPd3
1.0
4.5788 0.0000 0.0000
0.0000 5.5729 0.0000
0.0000 -2.7865 4.8263
Pd Hf
6 2
Cartesian
3.4341 4.1968 0.7945 Pd
1.1447 1.4103 4.0318 Pd
3.4341 1.3761 0.7945 Pd
1.1447 0.0000 1.5890 Pd
1.1447 -1.4103 4.0318 Pd
3.4341 2.7865 3.2373 Pd
3.4341 0.0000 3.2175 Hf
1.1447 2.7865 1.6088 Hf
```

Values from the calculation:
- E_form: -0.882 eV/atom
- Density of states at the Fermi level: 2.1 states/eV/cell

=====

19.
Computed, not measured: crystalline HfPd3 at its relaxed geometry at the PBEsol level of DFT.

The structure in POSCAR format:
```
HfPd3
1.0
-1.4650 0.1442 3.6623
-2.6384 -2.7792 -0.9460
2.5441 -2.7991 1.1279
Pd Hf
3 1
Cartesian
0.5395 -1.3275 2.3951 Pd
-2.0517 -1.3175 1.3582 Pd
-0.0471 -2.7892 0.0910 Pd
0.0000 0.0000 0.0000 Hf
```

Values from the calculation:
- E_form: -0.905 eV/atom
- Density of states at the Fermi level: 0.5 states/eV/cell

=====

20.
Computed, not measured: crystalline HfPd2 at its relaxed geometry at the PBEsol level of DFT.

The structure in POSCAR format:
```
HfPd2
1.0
-1.9999 0.8050 2.5968
-2.6007 0.3730 -2.1186
1.2884 -4.7480 0.2708
Pd Hf
2 1
Cartesian
-2.6273 -0.7551 0.4039 Pd
-0.6849 -2.8149 0.3451 Pd
0.0000 0.0000 0.0000 Hf
```

Values from the calculation:
- E_form: -0.824 eV/atom
- Density of states at the Fermi level: 2.0 states/eV/cell

=====

21.
Computed, not measured: crystalline HfPd at its relaxed geometry at the PBEsol level of DFT.

The structure in POSCAR format:
```
HfPd
1.0
-2.8368 0.4037 -1.5872
-0.8772 -3.0553 0.7906
-1.3830 1.1097 2.7541
Pd Hf
1 1
Cartesian
0.0000 0.0000 0.0000 Pd
-2.5485 -0.7709 0.9788 Hf
```

Values from the calculation:
- E_form: -0.633 eV/atom
- Density of states at the Fermi level: 1.6 states/eV/cell

=====

22.
Computed, not measured: crystalline Hf2TaPdPt at its relaxed geometry at the PBEsol level of DFT.

The structure in POSCAR format:
```
Hf2TaPdPt
1.0
-1.9265 3.8445 1.5905
-3.1507 -2.7027 2.7163
3.2152 0.0483 3.7776
Hf Pt Pd Ta
2 1 1 1
Cartesian
-1.5754 -1.3513 1.3581 Hf
1.6076 0.0242 1.8888 Hf
-0.9311 0.5951 4.0422 Pt
-0.9633 1.9222 0.7953 Pd
0.0000 0.0000 0.0000 Ta
```

Values from the calculation:
- E_form: 1.161 eV/atom
- Density of states at the Fermi level: 4.7 states/eV/cell

=====

23.
Computed, not measured: crystalline RbHfPd3 at its relaxed geometry at the PBEsol level of DFT.

The structure in POSCAR format:
```
RbHfPd3
1.0
4.8707 0.0000 0.0000
0.0000 4.8707 0.0000
0.0000 0.0000 4.8707
Pd Hf Rb
3 1 1
Cartesian
0.0000 0.0000 2.4353 Pd
2.4353 0.0000 0.0000 Pd
0.0000 2.4353 0.0000 Pd
2.4353 2.4353 2.4353 Hf
0.0000 0.0000 0.0000 Rb
```

Values from the calculation:
- E_form: 1.677 eV/atom
- Density of states at the Fermi level: 6.4 states/eV/cell

=====

24.
Computed, not measured: crystalline RbHfTc2Pd at its relaxed geometry at the PBEsol level of DFT.

The structure in POSCAR format:
```
RbHfTc2Pd
1.0
-4.7485 0.9601 -0.4954
-0.9298 -4.8696 -0.5253
-0.5990 -0.4177 4.9315
Rb Tc Hf Pd
1 2 1 1
Cartesian
-3.1386 -2.1636 1.9554 Rb
-0.2995 -0.2088 2.4658 Tc
-0.4649 -2.4348 -0.2627 Tc
-2.3742 0.4800 -0.2477 Hf
0.0000 0.0000 0.0000 Pd
```

Values from the calculation:
- E_form: 1.710 eV/atom
- Density of states at the Fermi level: 5.7 states/eV/cell

=====

25.
Computed, not measured: crystalline Hf2RePd at its relaxed geometry at the PBEsol level of DFT.

The structure in POSCAR format:
```
Hf2RePd
1.0
4.5964 0.0000 0.0000
2.2982 3.9806 0.0000
2.2982 1.3269 3.7529
Hf Pd Re
2 1 1
Cartesian
2.2982 1.3269 0.9382 Hf
6.8945 3.9806 2.8147 Hf
4.5964 2.6537 1.8765 Pd
0.0000 0.0000 0.0000 Re
```

Values from the calculation:
- E_form: -0.565 eV/atom
- Density of states at the Fermi level: 2.6 states/eV/cell

=====

26.
Computed, not measured: crystalline HfRe2SbPd at its relaxed geometry at the PBEsol level of DFT.

The structure in POSCAR format:
```
HfRe2SbPd
1.0
-3.9064 -0.1098 -2.6432
-2.4532 -1.6139 3.6927
-1.0050 4.4985 1.2984
Sb Re Hf Pd
1 2 1 1
Cartesian
-3.6823 1.3874 1.1739 Sb
-1.2266 -0.8070 1.8463 Re
-1.9532 -0.0549 -1.3216 Re
-0.5025 2.2493 0.6492 Hf
0.0000 0.0000 0.0000 Pd
```

Values from the calculation:
- E_form (uncorrected): 1.609 eV/atom
- Density of states at the Fermi level: 6.0 states/eV/cell

=====

27.
Computed, not measured: crystalline HfPd3Rh at its relaxed geometry at the PBEsol level of DFT.

The structure in POSCAR format:
```
HfPd3Rh
1.0
4.6493 0.0000 0.0000
0.0000 4.6493 0.0000
0.0000 0.0000 4.6493
Pd Hf Rh
3 1 1
Cartesian
0.0000 0.0000 2.3246 Pd
0.0000 2.3246 0.0000 Pd
2.3246 0.0000 0.0000 Pd
2.3246 2.3246 2.3246 Hf
0.0000 0.0000 0.0000 Rh
```

Values from the calculation:
- E_form: 1.011 eV/atom
- Density of states at the Fermi level: 8.4 states/eV/cell

=====

28.
Computed, not measured: crystalline HfSi2PdRh at its relaxed geometry at the PBEsol level of DFT.

The structure in POSCAR format:
```
HfSi2PdRh
1.0
4.4184 0.0000 0.0000
0.0000 4.4184 0.0000
0.0000 0.0000 4.9672
Si Pd Hf Rh
2 1 1 1
Cartesian
0.0000 2.2092 0.0000 Si
2.2092 0.0000 0.0000 Si
2.2092 2.2092 2.4836 Pd
0.0000 0.0000 2.4836 Hf
0.0000 0.0000 0.0000 Rh
```

Values from the calculation:
- E_form (uncorrected): 0.254 eV/atom
- Density of states at the Fermi level: 4.9 states/eV/cell

=====

no.,total moment (μB/cell)
1,1.47
2,3.15
3,0.00
4,0.63
5,0.00
6,0.00
7,0.00
8,0.00
9,0.00
10,0.00
11,0.42
12,0.00
13,0.00
14,0.00
15,0.88
16,0.00
17,0.00
18,0.00
19,0.00
20,0.00
21,0.00
22,0.00
23,0.00
24,4.09
25,0.00
26,0.00
27,0.01
28,0.00